Record 1
TbSmTmCd after structural relaxation, computed with PBE.

a b c (Å): 3.596 3.596 9.031
angles (deg): 90.00 90.00 90.00
Fractional positions:
Tb 0.500 0.500 0.796
Tm 0.500 0.500 0.348
Cd 0.000 0.000 0.566
Sm 0.000 0.000 0.074

Computed properties:
formation energy: -0.149 eV per atom
energy above the lowest structure with this stoichiometry: 0 meV/atom
Fermi-level density of states: 3.9 states/eV per cell

=====

Record 2
Sm3CdTc after structural relaxation, computed with PBE.

a b c (Å): 5.377 5.377 5.377
angles (deg): 90.00 90.00 90.00
Fractional positions:
Tc 0.000 0.000 0.000
Sm 0.000 0.500 0.000
Sm 0.500 0.000 0.000
Cd 0.500 0.500 0.500
Sm 0.000 0.000 0.500

Computed properties:
formation energy: 0.107 eV per atom
energy above the lowest structure with this stoichiometry: 197 meV/atom
Fermi-level density of states: 4.8 states/eV per cell

=====

Record 3
Sm8Cd2Tc after structural relaxation, computed with PBE.

a b c (Å): 5.533 7.092 9.243
angles (deg): 108.85 107.42 90.00
Fractional positions:
Tc 0.500 0.000 0.000
Sm 0.651 0.940 0.301
Sm 0.349 0.060 0.699
Sm 0.595 0.414 0.190
Sm 0.805 0.730 0.609
Sm 0.019 0.785 0.039
Cd 0.815 0.303 0.631
Sm 0.405 0.586 0.810
Sm 0.195 0.270 0.391
Cd 0.185 0.697 0.369
Sm 0.981 0.215 0.961

Computed properties:
formation energy: -0.085 eV per atom
Fermi-level density of states: 10.0 states/eV per cell

=====

Record 4
SmCdTc after structural relaxation, computed with PBE.

a b c (Å): 3.304 5.917 8.322
angles (deg): 114.82 90.00 106.21
Fractional positions:
Sm 0.605 0.211 0.239
Sm 0.395 0.789 0.761
Tc 0.838 0.675 0.025
Cd 0.628 0.256 0.656
Tc 0.162 0.325 0.975
Cd 0.372 0.744 0.344

Computed properties:
formation energy: 0.104 eV per atom
Fermi-level density of states: 5.6 states/eV per cell

=====

Record 5
Sm3CdTc after structural relaxation, computed with PBE.

a b c (Å): 6.486 9.366 10.281
angles (deg): 115.67 90.00 90.00
Fractional positions:
Tc 0.317 0.008 0.026
Cd 0.283 0.504 0.010
Cd 0.717 0.496 0.990
Cd 0.783 0.996 0.490
Sm 0.517 0.319 0.194
Tc 0.683 0.992 0.974
Sm 0.510 0.121 0.796
Sm 0.990 0.621 0.296
Sm 0.492 0.698 0.472
Tc 0.183 0.508 0.526
Sm 0.508 0.302 0.528
Sm 0.010 0.379 0.704
Tc 0.817 0.492 0.474
Sm 0.483 0.681 0.806
Sm 0.017 0.181 0.306
Sm 0.992 0.802 0.028
Sm 0.490 0.879 0.204
Sm 0.983 0.819 0.694
Sm 0.008 0.198 0.972
Cd 0.217 0.004 0.510

Computed properties:
formation energy: -0.090 eV per atom
energy above the lowest structure with this stoichiometry: 0 meV/atom
Fermi-level density of states: 18.3 states/eV per cell

=====

Record 6
SmCdTe after structural relaxation, computed with PBE.

a b c (Å): 4.942 4.942 9.656
angles (deg): 75.17 75.17 60.00
Fractional positions:
Cd 0.830 0.830 0.510
Te 0.282 0.282 0.155
Sm 0.430 0.430 0.710
Cd 0.170 0.170 0.490
Sm 0.570 0.570 0.290
Te 0.718 0.718 0.845

Computed properties:
Fermi-level density of states: 1.5 states/eV per cell
formation energy (no corrections): -0.810 eV/atom

=====

Record 7
SmCdTe2 after structural relaxation, computed with PBE.

a b c (Å): 4.488 4.488 9.614
angles (deg): 76.50 76.50 60.00
Fractional positions:
Te 0.103 0.103 0.691
Cd 0.000 0.000 0.000
Sm 0.500 0.500 0.500
Te 0.897 0.897 0.309

Computed properties:
energy above the lowest structure with this stoichiometry: 70 meV/atom
Fermi-level density of states: 2.7 states/eV per cell
formation energy (no corrections): -0.751 eV/atom

=====

Record 8
SmCdTe3 after structural relaxation, computed with PBE.

a b c (Å): 4.573 6.572 13.132
angles (deg): 107.30 90.00 90.00
Fractional positions:
Te 0.250 0.488 0.783
Te 0.750 0.512 0.217
Cd 0.750 0.902 0.383
Te 0.250 0.165 0.922
Sm 0.750 0.826 0.837
Cd 0.250 0.098 0.617
Te 0.750 0.826 0.598
Sm 0.250 0.174 0.163
Te 0.250 0.174 0.402
Te 0.750 0.835 0.078

Computed properties:
Fermi-level density of states: 3.8 states/eV per cell
formation energy (no corrections): -0.739 eV/atom